# 1
NaAg5Pd6 after structural relaxation, computed with PBE-GGA. Values from VASP.

Structure (Quantum ESPRESSO input):
```
&SYSTEM
  ibrav = 0, nat = 12, ntyp = 3
/
ATOMIC_SPECIES
Ag 107.87 Ag.upf
Pd 106.42 Pd.upf
Na 22.99 Na.upf
CELL_PARAMETERS angstrom
3.891 0.011 -1.132
-1.124 7.191 -3.744
0.092 -0.715 7.537
ATOMIC_POSITIONS crystal
Ag 0.333 0.833 0.666
Pd 0.500 0.746 0.000
Pd 0.168 0.420 0.336
Pd 0.832 0.084 0.664
Ag 0.667 0.167 0.334
Ag 0.333 0.333 0.665
Pd 0.832 0.580 0.664
Pd 0.500 0.254 0.000
Na 0.000 0.000 0.000
Ag 0.667 0.667 0.335
Pd 0.168 0.916 0.336
Ag 0.000 0.500 0.000
```

Formation energy from the elements = -0.0216 eV/atom
Calculated total energy = -47.0 eV per cell


# 2
NaAg4Pd after structural relaxation, computed with PBE-GGA. Values from VASP.

Structure (Quantum ESPRESSO input):
```
&SYSTEM
  ibrav = 0, nat = 6, ntyp = 3
/
ATOMIC_SPECIES
Ag 107.87 Ag.upf
Na 22.99 Na.upf
Pd 106.42 Pd.upf
CELL_PARAMETERS angstrom
-1.929 1.661 3.395
1.937 -4.669 0.733
4.326 3.831 0.584
ATOMIC_POSITIONS crystal
Ag 0.663 0.326 0.325
Ag 0.672 0.344 0.838
Ag 0.337 0.674 0.675
Ag 0.328 0.656 0.162
Na 0.000 0.000 0.500
Pd 0.000 0.000 0.000
```

Formation energy from the elements = -0.0284 eV/atom
Calculated total energy = -18.1 eV per cell


# 3
NaAg8Pd6 after structural relaxation, computed with PBE-GGA. Values from VASP.

Structure (Quantum ESPRESSO input):
```
&SYSTEM
  ibrav = 0, nat = 15, ntyp = 3
/
ATOMIC_SPECIES
Ag 107.87 Ag.upf
Pd 106.42 Pd.upf
Na 22.99 Na.upf
CELL_PARAMETERS angstrom
4.863 0.000 0.000
0.000 7.095 -4.097
0.000 0.000 8.193
ATOMIC_POSITIONS crystal
Ag 0.079 0.668 0.984
Pd 0.427 0.322 0.857
Ag 0.090 0.667 0.333
Ag 0.921 0.684 0.668
Na 0.500 0.000 0.000
Ag 0.079 0.016 0.684
Pd 0.573 0.678 0.143
Ag 0.910 0.333 0.667
Ag 0.921 0.984 0.316
Pd 0.427 0.535 0.678
Pd 0.427 0.143 0.465
Ag 0.079 0.316 0.332
Ag 0.921 0.332 0.016
Pd 0.573 0.465 0.322
Pd 0.573 0.857 0.535
```

Formation energy from the elements = 0.0945 eV/atom
Calculated total energy = -53.9 eV per cell


Q: formation energy from the elements of number 3 (NaAg8Pd6)?
A: 0.0945 eV/atom


Q: What is the formula in the first record?
A: NaAg5Pd6


Q: Among the records above, which one has the highest formation energy from the elements?
A: NaAg8Pd6